The following is a PBE calculation of a relaxed structure of TlGeC2Se, from Alexandria via LeMat-Bulk.

a b c (Å): 4.073 4.073 5.568
angles (deg): 90.00 90.00 90.00
Sites, in units of the cell vectors:
Tl 0.000 0.000 0.000
Ge 0.500 0.500 0.500
C 0.000 0.500 0.500
C 0.500 0.000 0.500
Se 0.500 0.500 0.000

## Properties
As for the symmetry: P4/mmm. Its calculated total energy is -19.99 eV/f.u. Its raw formation energy is 41.16 kcal/mol of atoms. The volume comes out at 18.470 Å³ per atom.